# 1
Below is CdCoAg2 after structural relaxation, with properties calculated at the PBE level.

Cell: 4.908 4.908 4.908 Å, 130.19 130.19 73.10°
Sites, in units of the cell vectors:
1 Cd 0.000 0.000 0.000
2 Co 0.250 0.750 0.500
3 Ag 0.500 0.500 0.000
4 Ag 0.750 0.250 0.500

Values from the calculation:
* symmetry: No. 119
* total moment: 1.44 μB/f.u.
* calculated density: 9541 kg/m³
* calculated total energy: -3.1414 eV per atom
* energy of formation: 0.2894 eV/atom

# 2
Below is TlPbBr4 after structural relaxation, with properties calculated at the PBE level.

Cell: 6.519 6.519 6.519 Å, 60.00 60.00 60.00°
Sites, in units of the cell vectors:
1 Tl 0.000 0.000 0.000
2 Pb 0.250 0.250 0.250
3 Br 0.125 0.625 0.625
4 Br 0.625 0.125 0.625
5 Br 0.625 0.625 0.125
6 Br 0.625 0.625 0.625

Values from the calculation:
* symmetry: No. 216
* total moment: 0.99 μB/f.u.
* calculated density: 6199 kg/m³
* ΔE to the lowest computed polymorph: 695.4 meV per atom
* calculated total energy: -2.0743 eV per atom
* raw formation energy: 0.053 eV/atom

# 3
Below is Pr12GaRh6 after structural relaxation, with properties calculated at the PBE level.

Cell: 8.862 8.862 8.862 Å, 109.47 109.47 109.47°
Sites, in units of the cell vectors:
1 Pr 0.119 0.816 0.303
2 Pr 0.184 0.303 0.487
3 Pr 0.184 0.697 0.881
4 Pr 0.303 0.119 0.816
5 Pr 0.303 0.487 0.184
6 Pr 0.487 0.184 0.303
7 Pr 0.513 0.816 0.697
8 Pr 0.697 0.513 0.816
9 Pr 0.697 0.881 0.184
10 Pr 0.816 0.303 0.119
11 Pr 0.816 0.697 0.513
12 Pr 0.881 0.184 0.697
13 Ga 0.000 0.000 0.000
14 Rh 0.132 0.632 0.500
15 Rh 0.368 0.500 0.868
16 Rh 0.500 0.132 0.632
17 Rh 0.500 0.868 0.368
18 Rh 0.632 0.500 0.132
19 Rh 0.868 0.368 0.500

Values from the calculation:
* symmetry: No. 204
* total moment: 0.00 μB/f.u.
* calculated density: 7372 kg/m³
* calculated total energy: -5.9755 eV per atom
* energy of formation: -0.4760 eV/atom

# 4
Below is Mn3AsPd12 after structural relaxation, with properties calculated at the PBE level.

Cell: 3.932 3.932 15.740 Å, 90.00 90.00 90.00°
Sites, in units of the cell vectors:
1 Mn 0.000 0.000 0.000
2 Mn 0.000 0.000 0.247
3 Mn 0.000 0.000 0.753
4 As 0.000 0.000 0.500
5 Pd 0.000 0.500 0.124
6 Pd 0.000 0.500 0.374
7 Pd 0.000 0.500 0.626
8 Pd 0.000 0.500 0.876
9 Pd 0.500 0.000 0.124
10 Pd 0.500 0.000 0.374
11 Pd 0.500 0.000 0.626
12 Pd 0.500 0.000 0.876
13 Pd 0.500 0.500 0.000
14 Pd 0.500 0.500 0.250
15 Pd 0.500 0.500 0.500
16 Pd 0.500 0.500 0.750

Values from the calculation:
* symmetry: No. 123
* total moment: 14.05 μB/f.u.
* calculated density: 10349 kg/m³
* calculated total energy: -6.1278 eV per atom
* energy of formation: -0.2233 eV/atom

> Which value of calculated total energy does entry 3 give?

-5.9755 eV per atom

> Look up the total moment of the fourth one.

14.05 μB/f.u.

Copy entry 1 word for word.
Below is CdCoAg2 after structural relaxation, with properties calculated at the PBE level.

Cell: 4.908 4.908 4.908 Å, 130.19 130.19 73.10°
Sites, in units of the cell vectors:
1 Cd 0.000 0.000 0.000
2 Co 0.250 0.750 0.500
3 Ag 0.500 0.500 0.000
4 Ag 0.750 0.250 0.500

Values from the calculation:
* symmetry: No. 119
* total moment: 1.44 μB/f.u.
* calculated density: 9541 kg/m³
* calculated total energy: -3.1414 eV per atom
* energy of formation: 0.2894 eV/atom